{"formula": "K2NiH12S2O14", "functional": "GGA+U", "state": "relaxed", "lattice": [[6.217, 0.000, 0.000], [0.000, 12.264, 0.000], [-2.219, 0.000, 8.745]], "species": ["K", "K", "K", "K", "Ni", "Ni", "H", "H", "H", "H", "H", "H", "H", "H", "H", "H", "H", "H", "H", "H", "H", "H", "H", "H", "H", "H", "H", "H", "H", "H", "S", "S", "S", "S", "O", "O", "O", "O", "O", "O", "O", "O", "O", "O", "O", "O", "O", "O", "O", "O", "O", "O", "O", "O", "O", "O", "O", "O", "O", "O", "O", "O"], "frac_coords": [[0.159, 0.156, 0.366], [0.159, 0.344, 0.866], [0.841, 0.656, 0.134], [0.841, 0.844, 0.634], [0.500, 0.000, 0.000], [0.500, 0.500, 0.500], [0.168, 0.560, 0.609], [0.168, 0.940, 0.109], [0.174, 0.644, 0.474], [0.174, 0.856, 0.974], [0.178, 0.087, 0.783], [0.178, 0.413, 0.283], [0.410, 0.124, 0.750], [0.410, 0.376, 0.250], [0.421, 0.601, 0.229], [0.421, 0.899, 0.729], [0.495, 0.690, 0.358], [0.495, 0.810, 0.858], [0.505, 0.190, 0.142], [0.505, 0.310, 0.642], [0.579, 0.101, 0.271], [0.579, 0.399, 0.771], [0.590, 0.624, 0.750], [0.590, 0.876, 0.250], [0.822, 0.587, 0.717], [0.822, 0.913, 0.217], [0.826, 0.144, 0.026], [0.826, 0.356, 0.526], [0.832, 0.060, 0.891], [0.832, 0.440, 0.391], [0.224, 0.638, 0.910], [0.224, 0.862, 0.410], [0.776, 0.138, 0.590], [0.776, 0.362, 0.090], [0.079, 0.735, 0.905], [0.079, 0.765, 0.405], [0.114, 0.562, 0.783], [0.114, 0.938, 0.283], [0.206, 0.567, 0.508], [0.206, 0.933, 0.008], [0.249, 0.579, 0.058], [0.249, 0.921, 0.558], [0.332, 0.112, 0.833], [0.332, 0.388, 0.333], [0.447, 0.672, 0.890], [0.447, 0.828, 0.390], [0.472, 0.115, 0.170], [0.472, 0.385, 0.670], [0.528, 0.615, 0.330], [0.528, 0.885, 0.830], [0.553, 0.172, 0.610], [0.553, 0.328, 0.110], [0.668, 0.612, 0.667], [0.668, 0.888, 0.167], [0.751, 0.079, 0.442], [0.751, 0.421, 0.942], [0.794, 0.067, 0.992], [0.794, 0.433, 0.492], [0.886, 0.062, 0.717], [0.886, 0.438, 0.217], [0.921, 0.235, 0.595], [0.921, 0.265, 0.095]], "vol_a3_per_cell": 667, "total_magnetization_mub_per_fu": 1.71, "energy_ev_per_cell": -327.087}